No. 1
Computed, not measured: an optimized crystal structure of SmYZnCo at the PBE level of DFT.

```
data_SmYZnCo
_chemical_formula_sum 'Sm4 Y4 Zn4 Co4'
_cell_length_a 6.9818
_cell_length_b 6.9818
_cell_length_c 6.9818
_cell_angle_alpha 90.00
_cell_angle_beta 90.00
_cell_angle_gamma 90.00
_space_group_name_H-M_alt 'F -4 3 m'
_space_group_IT_number 216
_space_group_name_Hall 'F -4 2 3'
loop_
_atom_site_label
_atom_site_fract_x
_atom_site_fract_y
_atom_site_fract_z
Sm1 0.0000 0.0000 0.0000
Y1 0.0000 0.0000 0.5000
Zn1 0.2500 0.2500 0.7500
Co1 0.2500 0.2500 0.2500
```

Values from the calculation:
volume: 21.27 Å³/atom
uncorrected energy: -0.187 hartree per atom

No. 2
Computed, not measured: an optimized crystal structure of SmYZnCo at the PBE level of DFT.

```
data_SmYZnCo
_chemical_formula_sum 'Sm2 Y2 Zn2 Co2'
_cell_length_a 4.2972
_cell_length_b 3.9054
_cell_length_c 10.6501
_cell_angle_alpha 90.00
_cell_angle_beta 90.00
_cell_angle_gamma 90.00
_space_group_name_H-M_alt 'A m m 2'
_space_group_IT_number 38
_space_group_name_Hall 'A 2 -2'
loop_
_atom_site_label
_atom_site_fract_x
_atom_site_fract_y
_atom_site_fract_z
Sm1 0.0000 0.0000 0.0000
Y1 0.5000 0.0000 0.7187
Zn1 0.5000 0.0000 0.4231
Co1 0.0000 0.0000 0.2960
```

Values from the calculation:
volume: 22.34 Å³/atom
uncorrected energy: -0.187 hartree per atom

No. 3
Computed, not measured: an optimized crystal structure of Sm3Zn9Co2 at the PBE level of DFT.

```
data_Sm3Zn9Co2
_chemical_formula_sum 'Sm6 Zn18 Co4'
_cell_length_a 4.3311
_cell_length_b 9.3049
_cell_length_c 12.3190
_cell_angle_alpha 90.00
_cell_angle_beta 90.00
_cell_angle_gamma 90.00
_space_group_name_H-M_alt 'I m m m'
_space_group_IT_number 71
_space_group_name_Hall '-I 2 2'
loop_
_atom_site_label
_atom_site_fract_x
_atom_site_fract_y
_atom_site_fract_z
Sm1 0.0000 0.0000 0.0000
Sm2 0.0000 0.0000 0.3074
Zn1 0.0000 0.2812 0.1201
Zn2 0.0000 0.3563 0.3466
Zn3 0.0000 0.5000 0.0000
Co1 0.0000 0.1726 0.5000
```

Values from the calculation:
volume: 17.73 Å³/atom
uncorrected energy: -0.114 hartree per atom

No. 4
Computed, not measured: an optimized crystal structure of Sm2ZnCo at the PBE level of DFT.

```
data_Sm2ZnCo
_chemical_formula_sum 'Sm4 Zn2 Co2'
_cell_length_a 6.1479
_cell_length_b 3.8689
_cell_length_c 8.1850
_cell_angle_alpha 90.00
_cell_angle_beta 109.33
_cell_angle_gamma 90.00
_space_group_name_H-M_alt 'P 1 21/m 1'
_space_group_IT_number 11
_space_group_name_Hall '-P 2yb'
loop_
_atom_site_label
_atom_site_fract_x
_atom_site_fract_y
_atom_site_fract_z
Sm1 0.2091 0.2500 0.4098
Sm2 0.2128 0.2500 0.9462
Zn1 0.3773 0.7500 0.7171
Co1 0.3248 0.7500 0.2117
```

Values from the calculation:
volume: 22.96 Å³/atom
uncorrected energy: -0.171 hartree per atom

No. 5
Computed, not measured: an optimized crystal structure of Sm2ZnCo at the PBE level of DFT.

```
data_Sm2ZnCo
_chemical_formula_sum 'Sm2 Zn1 Co1'
_cell_length_a 3.4893
_cell_length_b 3.4893
_cell_length_c 7.2970
_cell_angle_alpha 90.00
_cell_angle_beta 90.00
_cell_angle_gamma 90.00
_space_group_name_H-M_alt 'P 4/m m m'
_space_group_IT_number 123
_space_group_name_Hall '-P 4 2'
loop_
_atom_site_label
_atom_site_fract_x
_atom_site_fract_y
_atom_site_fract_z
Sm1 0.0000 0.0000 0.2298
Zn1 0.5000 0.5000 0.5000
Co1 0.5000 0.5000 0.0000
```

Values from the calculation:
volume: 22.21 Å³/atom
uncorrected energy: -0.170 hartree per atom

No. 6
Computed, not measured: an optimized crystal structure of Sm3Zn2Co at the PBE level of DFT.

```
data_Sm3Zn2Co
_chemical_formula_sum 'Sm12 Zn8 Co4'
_cell_length_a 12.1322
_cell_length_b 3.9265
_cell_length_c 12.0795
_cell_angle_alpha 90.00
_cell_angle_beta 90.00
_cell_angle_gamma 90.00
_space_group_name_H-M_alt 'P n m a'
_space_group_IT_number 62
_space_group_name_Hall '-P 2ac 2n'
loop_
_atom_site_label
_atom_site_fract_x
_atom_site_fract_y
_atom_site_fract_z
Sm1 0.0397 0.2500 0.1282
Sm2 0.1217 0.7500 0.5514
Sm3 0.2312 0.2500 0.7938
Zn1 0.0166 0.7500 0.3158
Zn2 0.1905 0.7500 0.9943
Co1 0.1313 0.2500 0.3798
```

Values from the calculation:
volume: 23.98 Å³/atom
uncorrected energy: -0.154 hartree per atom

No. 7
Computed, not measured: an optimized crystal structure of SmZn5Co2 at the PBE level of DFT.

```
data_SmZn5Co2
_chemical_formula_sum 'Sm2 Zn10 Co4'
_cell_length_a 3.9091
_cell_length_b 7.2623
_cell_length_c 9.1167
_cell_angle_alpha 90.00
_cell_angle_beta 90.00
_cell_angle_gamma 90.00
_space_group_name_H-M_alt 'I m m m'
_space_group_IT_number 71
_space_group_name_Hall '-I 2 2'
loop_
_atom_site_label
_atom_site_fract_x
_atom_site_fract_y
_atom_site_fract_z
Sm1 0.0000 0.0000 0.0000
Zn1 0.0000 0.1826 0.3396
Zn2 0.0000 0.5000 0.0000
Co1 0.0000 0.5000 0.2610
```

Values from the calculation:
volume: 16.18 Å³/atom
uncorrected energy: -0.121 hartree per atom

No. 8
Computed, not measured: an optimized crystal structure of Sm2ZnCo at the PBE level of DFT.

```
data_Sm2ZnCo
_chemical_formula_sum 'Sm8 Zn4 Co4'
_cell_length_a 7.0457
_cell_length_b 7.0457
_cell_length_c 7.0457
_cell_angle_alpha 90.00
_cell_angle_beta 90.00
_cell_angle_gamma 90.00
_space_group_name_H-M_alt 'F m -3 m'
_space_group_IT_number 225
_space_group_name_Hall '-F 4 2 3'
loop_
_atom_site_label
_atom_site_fract_x
_atom_site_fract_y
_atom_site_fract_z
Sm1 0.2500 0.2500 0.2500
Zn1 0.0000 0.0000 0.0000
Co1 0.0000 0.0000 0.5000
```

Values from the calculation:
volume: 21.86 Å³/atom
uncorrected energy: -0.169 hartree per atom